# 1
4
Lattice="2.899 0.000 0.000 0.000 4.433 0.000 0.000 0.000 4.420" Properties=species:S:1:pos:R:3 comment="AlOs PBE optimized geometry" total_energy_ev_per_atom=-7.7395 crystal_system=orthorhombic pbc="T T T"
Al 0.725 1.108 0.347
Al 2.175 3.325 4.073
Os 0.725 3.325 1.811
Os 2.175 1.108 2.609

---

# 2
4
Lattice="1.605 0.927 10.630 -1.605 0.927 10.630 0.000 -1.853 10.630" Properties=species:S:1:pos:R:3 comment="TaAsPb2 PBE optimized geometry" total_energy_ev_per_atom=-5.4227 crystal_system=trigonal pbc="T T T"
Ta 0.000 0.000 0.000
As 0.000 0.000 15.944
Pb 0.000 0.000 8.072
Pb 0.000 0.000 23.816

---

What did the first record say?
4
Lattice="2.899 0.000 0.000 0.000 4.433 0.000 0.000 0.000 4.420" Properties=species:S:1:pos:R:3 comment="AlOs PBE optimized geometry" total_energy_ev_per_atom=-7.7395 crystal_system=orthorhombic pbc="T T T"
Al 0.725 1.108 0.347
Al 2.175 3.325 4.073
Os 0.725 3.325 1.811
Os 2.175 1.108 2.609